A plane-wave DFT calculation with GGA-PBE was carried out for a relaxed structure of AcNd2ThSe4.

Values from the calculation:
Theoretical density   8.0 Mg/m³
Formation energy without anion corrections   -168.7 kJ/mol of atoms
Energy   -0.2250 hartree per atom

a b c (Å): 4.252 7.442 7.421
angles (deg): 70.80 90.00 90.00
Fractional positions:
Ac 0.500 0.500 0.000
Nd 0.000 0.000 0.000
Nd 0.500 0.000 0.500
Th 0.000 0.500 0.500
Se 0.000 0.759 0.739
Se 0.000 0.241 0.261
Se 0.500 0.754 0.256
Se 0.500 0.246 0.744